The following is a DFT calculation (PBE) of Tb8P3CSe3 after structural relaxation.

Computed properties:
As for the crystal system: trigonal. Its space-group type is R-3m.

Cell: 8.122 8.122 8.122 Å, 58.79 58.79 58.79°
Fractional positions:
Tb1 0.243 0.243 0.243
Tb2 0.265 0.724 0.724
Tb3 0.276 0.276 0.735
Tb4 0.276 0.735 0.276
Tb5 0.724 0.265 0.724
Tb6 0.724 0.724 0.265
Tb7 0.735 0.276 0.276
Tb8 0.757 0.757 0.757
P1 0.000 0.000 0.500
P2 0.000 0.500 0.000
P3 0.500 0.000 0.000
C1 0.500 0.500 0.500
Se1 0.000 0.500 0.500
Se2 0.500 0.000 0.500
Se3 0.500 0.500 0.000

The following is a DFT calculation (PBE) of Th6P2C3Se after structural relaxation.

Computed properties:
As for the crystal system: monoclinic. Its space-group type is C2/m.

Cell: 9.004 9.004 8.117 Å, 105.64 105.64 25.13°
Fractional positions:
Th1 0.008 0.008 0.222
Th2 0.323 0.323 0.433
Th3 0.339 0.339 0.901
Th4 0.661 0.661 0.099
Th5 0.677 0.677 0.567
Th6 0.992 0.992 0.778
P1 0.165 0.165 0.830
P2 0.835 0.835 0.170
C1 0.168 0.168 0.334
C2 0.500 0.500 0.000
C3 0.832 0.832 0.666
Se1 0.500 0.500 0.500

The following is a DFT calculation (PBE) of Th6PC2Se3 after structural relaxation.

Computed properties:
As for the crystal system: monoclinic. Its space-group type is C2/m.

Cell: 9.223 9.223 8.365 Å, 106.32 106.32 24.86°
Fractional positions:
Th1 0.017 0.017 0.248
Th2 0.322 0.322 0.443
Th3 0.334 0.334 0.878
Th4 0.666 0.666 0.122
Th5 0.678 0.678 0.557
Th6 0.983 0.983 0.752
P1 0.500 0.500 0.000
C1 0.170 0.170 0.336
C2 0.830 0.830 0.664
Se1 0.162 0.162 0.833
Se2 0.500 0.500 0.500
Se3 0.838 0.838 0.167

The following is a DFT calculation (PBE) of Th4PCSe2 after structural relaxation.

Computed properties:
As for the crystal system: monoclinic. Its space-group type is P2/m.

Cell: 7.032 4.007 7.297 Å, 90.00 108.28 90.00°
Fractional positions:
Th1 0.219 0.000 0.208
Th2 0.242 0.500 0.782
Th3 0.758 0.500 0.218
Th4 0.781 0.000 0.792
P1 0.500 0.000 0.000
C1 0.000 0.500 0.000
Se1 0.000 0.000 0.500
Se2 0.500 0.500 0.500

The following is a DFT calculation (PBE) of Th8PC3Se4 after structural relaxation.

Computed properties:
As for the crystal system: trigonal. Its space-group type is R-3m.

Cell: 8.326 8.326 8.326 Å, 56.84 56.84 56.84°
Fractional positions:
Th1 0.220 0.744 0.744
Th2 0.233 0.233 0.233
Th3 0.256 0.256 0.780
Th4 0.256 0.780 0.256
Th5 0.744 0.220 0.744
Th6 0.744 0.744 0.220
Th7 0.767 0.767 0.767
Th8 0.780 0.256 0.256
P1 0.500 0.500 0.500
C1 0.000 0.000 0.500
C2 0.000 0.500 0.000
C3 0.500 0.000 0.000
Se1 0.000 0.000 0.000
Se2 0.000 0.500 0.500
Se3 0.500 0.000 0.500
Se4 0.500 0.500 0.000

The following is a DFT calculation (PBE) of Th6P3C2Se after structural relaxation.

Computed properties:
As for the crystal system: monoclinic. Its space-group type is C2/m.

Cell: 9.016 9.016 8.191 Å, 102.80 102.80 25.67°
Fractional positions:
Th1 0.014 0.014 0.268
Th2 0.326 0.326 0.431
Th3 0.326 0.326 0.885
Th4 0.674 0.674 0.115
Th5 0.674 0.674 0.569
Th6 0.986 0.986 0.732
P1 0.160 0.160 0.834
P2 0.500 0.500 0.500
P3 0.840 0.840 0.166
C1 0.169 0.169 0.333
C2 0.831 0.831 0.667
Se1 0.500 0.500 0.000

The following is a DFT calculation (PBE) of Th6P2CSe3 after structural relaxation.

Computed properties:
As for the crystal system: monoclinic. Its space-group type is C2/m.

Cell: 9.288 9.288 8.399 Å, 104.70 104.70 25.25°
Fractional positions:
Th1 0.002 0.002 0.215
Th2 0.329 0.329 0.428
Th3 0.350 0.350 0.914
Th4 0.650 0.650 0.086
Th5 0.671 0.671 0.572
Th6 0.998 0.998 0.785
P1 0.165 0.165 0.331
P2 0.835 0.835 0.669
C1 0.500 0.500 0.000
Se1 0.171 0.171 0.836
Se2 0.500 0.500 0.500
Se3 0.829 0.829 0.164

The following is a DFT calculation (PBE) of Tm8P3CSe4 after structural relaxation.

Computed properties:
As for the crystal system: trigonal. Its space-group type is R-3m.

Cell: 7.952 7.952 7.952 Å, 58.93 58.93 58.93°
Fractional positions:
Tm1 0.243 0.243 0.243
Tm2 0.260 0.728 0.728
Tm3 0.272 0.272 0.740
Tm4 0.272 0.740 0.272
Tm5 0.728 0.260 0.728
Tm6 0.728 0.728 0.260
Tm7 0.740 0.272 0.272
Tm8 0.757 0.757 0.757
P1 0.000 0.000 0.500
P2 0.000 0.500 0.000
P3 0.500 0.000 0.000
C1 0.500 0.500 0.500
Se1 0.000 0.000 0.000
Se2 0.000 0.500 0.500
Se3 0.500 0.000 0.500
Se4 0.500 0.500 0.000

The following is a DFT calculation (PBE) of U6P2C3Se after structural relaxation.

Computed properties:
As for the crystal system: monoclinic. Its space-group type is C2/m.

Cell: 8.433 8.433 7.592 Å, 104.70 104.70 25.35°
Fractional positions:
U1 0.009 0.009 0.219
U2 0.321 0.321 0.436
U3 0.341 0.341 0.898
U4 0.659 0.659 0.102
U5 0.679 0.679 0.564
U6 0.991 0.991 0.781
P1 0.166 0.166 0.832
P2 0.834 0.834 0.168
C1 0.166 0.166 0.331
C2 0.500 0.500 0.000
C3 0.834 0.834 0.669
Se1 0.500 0.500 0.500

The following is a DFT calculation (PBE) of V2PCSe after structural relaxation.

Computed properties:
As for the crystal system: tetragonal. Its space-group type is P4/mmm.

Cell: 4.667 4.667 3.726 Å, 90.00 90.00 90.00°
Fractional positions:
V1 0.000 0.500 0.000
V2 0.500 0.000 0.000
P1 0.000 0.000 0.500
C1 0.500 0.500 0.500
Se1 0.500 0.500 0.000

The following is a DFT calculation (PBE) of Y6PC2Se3 after structural relaxation.

Computed properties:
As for the crystal system: monoclinic. Its space-group type is C2/m.

Cell: 8.853 8.853 8.007 Å, 105.05 105.05 25.18°
Fractional positions:
Y1 0.018 0.018 0.251
Y2 0.322 0.322 0.441
Y3 0.332 0.332 0.879
Y4 0.668 0.668 0.121
Y5 0.678 0.678 0.559
Y6 0.982 0.982 0.749
P1 0.500 0.500 0.000
C1 0.169 0.169 0.336
C2 0.831 0.831 0.664
Se1 0.162 0.162 0.832
Se2 0.500 0.500 0.500
Se3 0.838 0.838 0.168

The following is a DFT calculation (PBE) of Y8P3CSe3 after structural relaxation.

Computed properties:
As for the crystal system: trigonal. Its space-group type is R-3m.

Cell: 8.078 8.078 8.078 Å, 58.96 58.96 58.96°
Fractional positions:
Y1 0.243 0.243 0.243
Y2 0.263 0.726 0.726
Y3 0.274 0.274 0.737
Y4 0.274 0.737 0.274
Y5 0.726 0.263 0.726
Y6 0.726 0.726 0.263
Y7 0.737 0.274 0.274
Y8 0.757 0.757 0.757
P1 0.000 0.000 0.500
P2 0.000 0.500 0.000
P3 0.500 0.000 0.000
C1 0.500 0.500 0.500
Se1 0.000 0.500 0.500
Se2 0.500 0.000 0.500
Se3 0.500 0.500 0.000

The following is a DFT calculation (PBE) of Y8P3CSe4 after structural relaxation.

Computed properties:
As for the crystal system: trigonal. Its space-group type is R-3m.

Cell: 8.090 8.090 8.090 Å, 58.94 58.94 58.94°
Fractional positions:
Y1 0.243 0.243 0.243
Y2 0.259 0.729 0.729
Y3 0.271 0.271 0.741
Y4 0.271 0.741 0.271
Y5 0.729 0.259 0.729
Y6 0.729 0.729 0.259
Y7 0.741 0.271 0.271
Y8 0.757 0.757 0.757
P1 0.000 0.000 0.500
P2 0.000 0.500 0.000
P3 0.500 0.000 0.000
C1 0.500 0.500 0.500
Se1 0.000 0.000 0.000
Se2 0.000 0.500 0.500
Se3 0.500 0.000 0.500
Se4 0.500 0.500 0.000

The following is a DFT calculation (PBE) of SiPC2 after structural relaxation.

Computed properties:
As for the crystal system: orthorhombic. The energy above the most stable polymorph in this dataset is 0 meV/atom. Its space-group type is Imm2.

Cell: 5.688 5.688 5.688 Å, 154.85 130.74 56.10°
Fractional positions:
Si1 0.000 0.000 0.000
P1 0.560 0.060 0.500
C1 0.744 0.244 0.500
C2 0.810 0.810 0.000

The following is a DFT calculation (PBE) of SiPC2 after structural relaxation.

Computed properties:
As for the crystal system: monoclinic. The energy above the most stable polymorph in this dataset is 270 meV/atom. Its space-group type is Pm.

Cell: 3.413 3.030 5.277 Å, 90.00 94.10 90.00°
Fractional positions:
Si1 0.000 0.000 0.000
P1 0.089 0.500 0.499
C1 0.014 0.500 0.175
C2 0.027 0.000 0.660

The following is a DFT calculation (PBE) of Si3PC after structural relaxation.

Computed properties:
As for the crystal system: cubic. The energy above the most stable polymorph in this dataset is 0 meV/atom. Its space-group type is Pm-3m.

Cell: 4.053 4.053 4.053 Å, 90.00 90.00 90.00°
Fractional positions:
Si1 0.000 0.000 0.500
Si2 0.000 0.500 0.000
Si3 0.500 0.000 0.000
P1 0.500 0.500 0.500
C1 0.000 0.000 0.000

The following is a DFT calculation (PBE) of Si2PC after structural relaxation.

Computed properties:
As for the crystal system: tetragonal. The energy above the most stable polymorph in this dataset is 0 meV/atom. Its space-group type is I-42d.

Cell: 5.752 5.752 5.752 Å, 129.61 129.61 74.03°
Fractional positions:
Si1 0.061 0.625 0.936
Si2 0.375 0.311 0.436
Si3 0.689 0.125 0.064
Si4 0.875 0.939 0.564
P1 0.250 0.750 0.500
P2 0.500 0.500 0.000
C1 0.000 0.000 0.000
C2 0.750 0.250 0.500

The following is a DFT calculation (PBE) of Si2PC after structural relaxation.

Computed properties:
As for the crystal system: orthorhombic. The energy above the most stable polymorph in this dataset is 139 meV/atom. Its space-group type is Imm2.

Cell: 6.281 6.281 6.281 Å, 153.19 149.92 40.73°
Fractional positions:
Si1 0.000 0.000 0.000
Si2 0.310 0.310 0.000
P1 0.677 0.177 0.500
C1 0.405 0.905 0.500

The following is a DFT calculation (PBE) of Si2PC after structural relaxation.

Computed properties:
As for the crystal system: monoclinic. The energy above the most stable polymorph in this dataset is 134 meV/atom. Its space-group type is Cm.

Cell: 3.263 3.263 5.748 Å, 90.85 90.85 60.22°
Fractional positions:
Si1 0.000 0.000 0.000
Si2 0.682 0.682 0.653
P1 0.338 0.338 0.212
C1 0.345 0.345 0.531

The following is a DFT calculation (PBE) of Si2PC after structural relaxation.

Computed properties:
As for the crystal system: tetragonal. The energy above the most stable polymorph in this dataset is 47 meV/atom. Its space-group type is P-4m2.

Cell: 3.391 3.391 4.860 Å, 90.00 90.00 90.00°
Fractional positions:
Si1 0.000 0.500 0.193
Si2 0.500 0.000 0.807
P1 0.500 0.500 0.500
C1 0.000 0.000 0.000

The following is a DFT calculation (PBE) of Si2PC after structural relaxation.

Computed properties:
As for the crystal system: orthorhombic. The energy above the most stable polymorph in this dataset is 371 meV/atom. Its space-group type is Amm2.

Cell: 2.897 4.273 4.273 Å, 110.44 90.00 90.00°
Fractional positions:
Si1 0.000 0.202 0.798
Si2 0.000 0.798 0.202
P1 0.500 0.564 0.564
C1 0.500 0.939 0.939

The following is a DFT calculation (PBE) of Si2PC after structural relaxation.

Computed properties:
As for the crystal system: trigonal. The energy above the most stable polymorph in this dataset is 209 meV/atom. Its space-group type is R3m.

Cell: 7.851 7.851 7.851 Å, 21.67 21.67 21.67°
Fractional positions:
Si1 0.000 0.000 0.000
Si2 0.222 0.222 0.222
P1 0.121 0.121 0.121
C1 0.916 0.916 0.916

Energy relative to the elements, uncorrected (computed, eV/atom): -1.45, -0.97, -1.23, -1.31, -1.18, -1.12, -1.40, -1.60, -0.52, 1.36, -1.38, -1.47, -1.63, 0.31, 0.58, 0.98, 0.12, 0.26, 0.25, 0.17, 0.49, 0.33